! V2CuPtAu GGA-PBE relaxed; values from VASP
! Space group = P4/mmm, No. 123
! Total DFT energy (no corrections) = -5.375 eV per atom
! Energy relative to the elements = 4.8 eV/f.u.
! DOS at the Fermi energy = 1.16 states/eV per atom
! Crystal system = tetragonal
&SYSTEM
  ibrav = 0, nat = 5, ntyp = 4
/
ATOMIC_SPECIES
V 50.94 V.upf
Cu 63.55 Cu.upf
Pt 195.08 Pt.upf
Au 196.97 Au.upf
CELL_PARAMETERS angstrom
4.3614 0.0000 0.0000
0.0000 4.3614 0.0000
0.0000 0.0000 4.5594
ATOMIC_POSITIONS crystal
V 0.0000 0.5000 0.0000
V 0.5000 0.0000 0.0000
Cu 0.0000 0.0000 0.0000
Pt 0.0000 0.0000 0.5000
Au 0.5000 0.5000 0.5000